(P)
ZrScTa2 after structural relaxation. Source: the Alexandria database, functional PBE.

Calculated values
- SG: Cmm2, No. 35
- Crystal system: orthorhombic

Cell lengths 2.958, 2.958, 9.921 Å; angles 90.00, 90.00, 108.40 degrees
Atoms (fractional coordinates):
Ta: 0.000 0.000 0.014
Ta: 0.500 0.500 0.236
Sc: 0.500 0.500 0.770
Zr: 0.000 0.000 0.480

---

(Q)
ZrScTa2 after structural relaxation. Source: the Alexandria database, functional PBE.

Calculated values
- SG: R-3m, No. 166
- Crystal system: trigonal

Cell lengths 10.271, 10.271, 10.271 Å; angles 17.14, 17.14, 17.14 degrees
Atoms (fractional coordinates):
Zr: 0.250 0.250 0.250
Sc: 0.750 0.750 0.750
Ta: 0.500 0.500 0.500
Ta: 0.000 0.000 0.000

---

The structure shown above that is most stable: (P).